SrTl8Cd4 (PBE, optimized geometry); E_tot = -0.0706 hartree per atom; space group = I4/mmm
1.0
5.908 0.000 0.000
2.954 8.030 0.000
2.954 0.000 8.030
Sr Tl Cd
1 8 4
Direct
0.000 0.000 0.000 Sr
0.000 0.355 0.645 Tl
0.000 0.645 0.355 Tl
0.355 0.645 0.645 Tl
0.645 0.355 0.355 Tl
0.500 0.793 0.207 Tl
0.500 0.207 0.793 Tl
0.293 0.207 0.207 Tl
0.707 0.793 0.793 Tl
0.000 0.000 0.500 Cd
0.500 0.000 0.500 Cd
0.000 0.500 0.000 Cd
0.500 0.500 0.000 Cd